Material: MgCoSN2
Method: DFT, PBE
State: optimized geometry

Cell lengths 3.5864, 3.5864, 5.0976 Å; angles 90.00, 90.00, 90.00 degrees
Closest atoms and distances in Å follow each position.
Fractional coordinates of all 5 atoms:
Co (0.0000, 0.0000, 0.0000)  4 N 1.79
Mg (0.5000, 0.5000, 0.5000)  4 S 2.54
N (0.5000, 0.0000, 0.0000)  2 Co 1.79
N (0.0000, 0.5000, 0.0000)  2 Co 1.79
S (0.0000, 0.0000, 0.5000)  4 Mg 2.54, 2 Co 2.55

SG: P4/mmm, No. 123
D(E_F): 3.06 states/eV per cell
ΔE_f (raw): 43.86 kJ per mole of atoms
M_tot: 0.000 μB/atom
energy: -5.441 eV per atom
distance to the lowest polymorph of the same formula: 0.0 kJ per mole of atoms